<i>
# Dy4OsAu

Dy4OsAu after structural relaxation (PBE, the Alexandria database).

Unit cell a=4.8601 b=4.8601 c=6.9578 alpha=90.00 beta=90.00 gamma=90.00
Last column: nearest neighbours and their distance in Å.
Element x y z (fractional)
Dy 0.0000 0.5000 0.2374  2 Os 2.94, 2 Au 3.04
Dy 0.0000 0.5000 0.7626  2 Os 2.94, 2 Au 3.04
Dy 0.5000 0.0000 0.2374  2 Os 2.94, 2 Au 3.04
Dy 0.5000 0.0000 0.7626  2 Os 2.94, 2 Au 3.04
Os 0.0000 0.0000 0.0000  8 Dy 2.94
Au 0.5000 0.5000 0.5000  8 Dy 3.04

Properties
Volume in Å³ per cell: 164.35
Symmetry: P4/mmm (123)

=====

<ii>
# Dy4OsAu

Dy4OsAu after structural relaxation (PBE, the Alexandria database).

Unit cell a=7.9451 b=7.9451 c=6.2651 alpha=106.70 beta=106.70 gamma=110.98
Last column: nearest neighbours and their distance in Å.
Element x y z (fractional)
Dy 0.0561 0.7092 0.9132  2 Os 2.89-2.92, 2 Au 3.10-3.13
Dy 0.2226 0.3558 0.7032  2 Os 2.85-2.89, 2 Au 3.08-3.15
Dy 0.2908 0.9439 0.5868  2 Os 2.89-2.92, 2 Au 3.10-3.13
Dy 0.3558 0.2226 0.2032  2 Os 2.85-2.89, 2 Au 3.08-3.15
Dy 0.6442 0.7774 0.7968  2 Os 2.85-2.89, 2 Au 3.08-3.15
Dy 0.7092 0.0561 0.4132  2 Os 2.89-2.92, 2 Au 3.10-3.13
Dy 0.7774 0.6442 0.2968  2 Os 2.85-2.89, 2 Au 3.08-3.15
Dy 0.9439 0.2908 0.0868  2 Os 2.89-2.92, 2 Au 3.10-3.13
Os 0.0015 0.9985 0.2500  8 Dy 2.85-2.92, 2 Os 3.13
Os 0.9985 0.0015 0.7500  8 Dy 2.85-2.92, 2 Os 3.13
Au 0.3678 0.6322 0.2500  8 Dy 3.08-3.15
Au 0.6322 0.3678 0.7500  8 Dy 3.08-3.15

Properties
Volume in Å³ per cell: 318.26
Symmetry: C2/c (15)

=====

Calculated relative energies: <i> 0.084; <ii> 0.000, given in eV/atom